(1)
This record from the Alexandria database describes a relaxed structure of CaTcRh2S. The functional is GGA-PBE.

Output
Raw formation energy in kJ/mol of atoms: 72.8
Crystal system: tetragonal

```
5
Lattice="-0.5386 -1.9994 -4.0606 2.0754 -5.0039 2.1886 -4.2266 -1.2406 1.1715" Properties=species:S:1:pos:R:3 pbc="T T T"
Rh -0.2693 -0.9997 -2.0303
Rh -2.1133 -0.6203 0.5857
S -1.3449 -4.1219 -0.3503
Tc 0.0000 0.0000 0.0000
Ca 1.0377 -2.5019 1.0943
```

(2)
This record from the Alexandria database describes a relaxed structure of ZrTaGe2F. The functional is GGA-PBE.

Output
Raw formation energy in kJ/mol of atoms: 22.2
Crystal system: tetragonal

```
5
Lattice="4.9267 0.0000 0.0000 0.0000 5.2030 0.0000 0.0000 0.0000 4.9267" Properties=species:S:1:pos:R:3 pbc="T T T"
Ge 2.4633 0.0000 0.0000
Ge 0.0000 0.0000 2.4633
F 2.4633 2.6015 2.4633
Ta 0.0000 0.0000 0.0000
Zr 0.0000 2.6015 0.0000
```

(3)
This record from the Alexandria database describes a relaxed structure of MgZn2Sb. The functional is GGA-PBE.

Output
Raw formation energy in kJ/mol of atoms: 11.3
Crystal system: tetragonal

```
8
Lattice="7.9489 0.0000 0.0000 0.0000 7.9489 0.0000 3.9744 3.9744 2.8171" Properties=species:S:1:pos:R:3 pbc="T T T"
Zn 6.1111 1.9872 0.7043
Zn 9.9361 10.0855 2.1128
Zn 5.9617 5.8122 2.1128
Zn 1.8378 5.9617 0.7043
Mg 3.9744 3.9744 0.0000
Mg 3.9744 7.9489 1.4086
Sb 0.0000 0.0000 0.0000
Sb 7.9489 3.9744 1.4086
```

(4)
This record from the Alexandria database describes a relaxed structure of Li3Dy2BiTe6. The functional is GGA-PBE.

Output
Raw formation energy in kJ/mol of atoms: -99.2
Crystal system: monoclinic

```
12
Lattice="-0.3436 5.3114 5.3997 -5.4224 -5.2770 -0.4853 5.6029 -4.1903 2.7038" Properties=species:S:1:pos:R:3 pbc="T T T"
Li 1.6541 1.5404 5.8202
Li -1.8171 -5.6963 1.7980
Li -0.0815 -2.0780 3.8091
Te 0.8320 0.7123 2.9443
Te -0.9950 -4.8682 4.6739
Te 2.7113 -3.1093 3.2544
Te 0.7178 -1.2974 6.6586
Te -0.8809 -2.8586 0.9596
Te -2.8744 -1.0466 4.3638
Dy -3.7353 -1.7596 1.4697
Dy -2.0307 1.7940 3.4447
Bi 0.0000 0.0000 0.0000
```

(5)
This record from the Alexandria database describes a relaxed structure of YMn2Si. The functional is GGA-PBE.

Output
Raw formation energy in kJ/mol of atoms: -25.3
Crystal system: trigonal

```
4
Lattice="-4.3156 2.8883 -1.8035 -3.3323 -0.0825 -4.3713 -5.3315 -0.9376 -0.9569" Properties=species:S:1:pos:R:3 pbc="T T T"
Y -9.7345 1.4011 -5.3488
Mn -7.3984 1.0649 -4.0652
Mn -12.0706 1.7373 -6.6324
Si -3.2448 0.4670 -1.7829
```

(6)
This record from the Alexandria database describes a relaxed structure of MgZn6Au8. The functional is GGA-PBE.

Output
ΔH_f (0 K) in eV per atom: -0.167
Crystal system: trigonal

```
15
Lattice="7.7543 0.0000 0.0000 3.8772 6.7154 0.0000 3.8772 2.2385 5.2874" Properties=species:S:1:pos:R:3 pbc="T T T"
Au 9.2919 2.1749 3.5807
Au 3.8772 2.2385 0.3360
Au 8.9791 6.9596 3.5807
Au 4.9919 4.2964 3.5807
Au 6.2167 6.7790 1.7067
Au 11.6315 6.7154 4.9514
Au 10.5167 4.6575 1.7067
Au 6.5295 1.9943 1.7067
Mg 0.0000 0.0000 0.0000
Zn 8.8306 6.5497 0.9861
Zn 10.0875 4.5813 4.3013
Zn 6.6780 2.4042 4.3013
Zn 6.4973 6.4454 4.3013
Zn 9.0113 2.5085 0.9861
Zn 5.4211 4.3726 0.9861
```

(7)
This record from the Alexandria database describes a relaxed structure of La2Sm3Pt2. The functional is GGA-PBE.

Output
ΔH_f (0 K) in eV per atom: -0.726
Crystal system: monoclinic

```
7
Lattice="-0.3654 2.9610 2.4740 -2.8635 -5.2403 2.8131 9.2925 0.3306 0.9768" Properties=species:S:1:pos:R:3 pbc="T T T"
Sm -0.1827 1.4805 1.2370
Sm 3.1237 0.7483 2.6017
Sm 2.9399 -2.6970 3.6622
La 6.5564 -0.9667 2.1255
La -0.4928 -0.9819 4.1384
Pt 4.8737 -0.7491 4.6524
Pt 1.1899 -1.1996 1.6115
```

(8)
This record from the Alexandria database describes a relaxed structure of HfMnGa2. The functional is GGA-PBE.

Output
ΔH_f (0 K) in eV per atom: 0.193
Crystal system: tetragonal

```
8
Lattice="-0.2682 -3.7571 0.4920 2.7980 0.1362 2.5656 -5.1126 -0.4538 8.4119" Properties=species:S:1:pos:R:3 pbc="T T T"
Ga -2.8260 -1.6953 7.5104
Ga 0.4313 -0.5783 3.7785
Ga -1.6807 -3.5115 8.9295
Ga -1.0903 -2.3643 2.7206
Hf 0.0000 0.0000 0.0000
Hf -2.0580 -3.0107 5.2163
Mn 1.2649 -1.8104 1.5288
Mn -0.5249 -1.0640 6.2531
```

(9)
This record from the Alexandria database describes a relaxed structure of RbMnPb2S4. The functional is GGA-PBE.

Output
Raw formation energy in kJ/mol of atoms: -56.5
Crystal system: monoclinic

```
16
Lattice="8.6203 0.3324 -0.1445 0.3265 8.6199 -0.1457 -4.4490 -4.4517 6.7639" Properties=species:S:1:pos:R:3 pbc="T T T"
S -2.2063 -2.3336 5.9319
S -2.1309 2.8187 6.2700
S 6.2432 6.3952 -0.1740
S 2.8554 -2.7557 6.2871
S 0.1325 0.0058 4.0691
S 3.6000 0.2596 3.5854
S 0.8844 3.5650 3.5686
S 4.8047 4.9550 3.1206
Mn 1.7920 1.5732 4.2403
Mn -3.4458 4.6255 5.6148
Pb 2.1026 -2.1726 3.7436
Pb 0.3001 4.3178 6.1120
Pb 5.8842 -1.3829 3.1926
Pb 3.9622 4.9873 -0.1002
Rb 6.5002 2.3246 2.7517
Rb 0.2546 4.3696 0.3401
```

(10)
This record from the Alexandria database describes a relaxed structure of YTaIr2. The functional is GGA-PBE.

Output
ΔH_f (0 K) in eV per atom: -0.631
Crystal system: orthorhombic

```
4
Lattice="3.1157 0.0000 0.0000 0.0000 3.1421 0.0000 0.0000 0.0000 7.5318" Properties=species:S:1:pos:R:3 pbc="T T T"
Ir 0.0000 0.0000 0.3098
Ir 0.0000 0.0000 3.4561
Ta 1.5579 1.5710 1.8830
Y 1.5579 1.5710 5.6489
```

(11)
This record from the Alexandria database describes a relaxed structure of KFe2Se. The functional is GGA-PBE.

Output
Raw formation energy in kJ/mol of atoms: 9.1
Crystal system: trigonal

```
4
Lattice="-0.8475 -3.7840 1.0903 1.6907 -1.5732 3.3004 -4.4738 0.2596 4.8781" Properties=species:S:1:pos:R:3 pbc="T T T"
Se -0.1611 -1.5949 1.7805
Fe -3.6393 -3.4294 7.6100
Fe -4.2302 0.1546 4.7034
K -1.8892 -2.5171 4.6875
```

(12)
This record from the Alexandria database describes a relaxed structure of Tb12Nd3Cd. The functional is GGA-PBE.

Output
ΔH_f (0 K) in eV per atom: -0.003
Crystal system: tetragonal

```
16
Lattice="-1.3098 -2.7224 -4.0029 3.5004 -3.3970 1.1649 -13.4875 -10.0424 11.2431" Properties=species:S:1:pos:R:3 pbc="T T T"
Tb -5.6830 -5.1049 2.1900
Tb -5.6484 -8.0809 4.2026
Tb -2.1818 -5.4997 1.3128
Tb -10.1210 -10.5375 10.4783
Tb -12.5261 -10.2002 7.8944
Tb -9.1143 -7.6598 5.0503
Tb -2.2712 -2.5646 -0.6541
Tb 0.1339 -2.9019 1.9298
Tb -3.2779 -5.4423 4.7739
Tb 1.0953 -3.0597 -1.4190
Tb -9.1151 -10.6621 7.0924
Tb -6.7092 -7.9972 7.6342
Nd -10.1579 -7.5633 8.4676
Nd -6.7437 -5.0212 5.6216
Nd -3.3296 -2.4791 2.7755
Cd 0.0000 0.0000 0.0000
```

(13)
This record from the Alexandria database describes a relaxed structure of CaAgP3. The functional is GGA-PBE.

Output
ΔH_f (0 K) in eV per atom: 1.159
Crystal system: cubic

```
5
Lattice="5.1731 0.0000 0.0000 0.0000 5.1731 0.0000 0.0000 0.0000 5.1731" Properties=species:S:1:pos:R:3 pbc="T T T"
Ca 0.0000 0.0000 0.0000
Ag 2.5865 2.5865 2.5865
P 0.0000 0.0000 2.5865
P 0.0000 2.5865 0.0000
P 2.5865 0.0000 0.0000
```

| no. | calculated volume (Å³ per cell) |
| --- | --- |
| 1 | 121.4 |
| 2 | 126.3 |
| 3 | 178.0 |
| 4 | 351.4 |
| 5 | 70.6 |
| 6 | 275.3 |
| 7 | 206.0 |
| 8 | 136.8 |
| 9 | 491.2 |
| 10 | 73.7 |
| 11 | 87.1 |
| 12 | 508.7 |
| 13 | 138.4 |